1.
VASP calculation (PBE) on a relaxed Rb2Ta2Si crystal.

Output
The value obtained for the calculated volume is 288 Å³ per cell. The calculation puts the density of states at the Fermi level at 8.95 states/eV per cell. The space group is No. 127. Its formation energy from raw total energies is 952 meV/atom. The calculation puts the magnetization at 0.00 μB per formula unit. As for the crystal system: tetragonal. For the energy above the most stable polymorph in this dataset, the calculation gives 0.0 meV/atom. As for the total energy: -5.261 eV per atom.

Cell lengths 6.619, 6.619, 6.577 Å; angles 90.00, 90.00, 90.00 degrees
Sites, in units of the cell vectors:
Rb 0.201 0.299 0.000
Rb 0.299 0.799 0.000
Rb 0.701 0.201 0.000
Rb 0.799 0.701 0.000
Ta 0.140 0.640 0.500
Ta 0.360 0.140 0.500
Ta 0.640 0.860 0.500
Ta 0.860 0.360 0.500
Si 0.000 0.000 0.500
Si 0.500 0.500 0.500

=====

2.
VASP calculation (PBE) on a relaxed LaOsAu2 crystal.

Output
The value obtained for the calculated volume is 166 Å³ per cell. The calculation puts the density of states at the Fermi level at 5.45 states/eV per cell. The space group is No. 12. The calculation puts the magnetization at 0.00 μB per formula unit. As for the crystal system: monoclinic. The value obtained for the energy of formation from the pure elements is 0.2 eV/f.u. As for the total energy: -5.640 eV per atom.

Cell lengths 11.340, 3.395, 4.743 Å; angles 90.00, 114.59, 90.00 degrees
Sites, in units of the cell vectors:
La 0.000 0.000 0.000
La 0.500 0.500 0.000
Os 0.000 0.500 0.500
Os 0.500 0.000 0.500
Au 0.217 0.000 0.717
Au 0.283 0.500 0.283
Au 0.717 0.500 0.717
Au 0.783 0.000 0.283

=====

3.
VASP calculation (PBE) on a relaxed LiLa2BeIr2 crystal.

Output
The value obtained for the calculated volume is 239 Å³ per cell. The calculation puts the density of states at the Fermi level at 4.75 states/eV per cell. The space group is No. 72. The calculation puts the magnetization at 0.00 μB per formula unit. As for the crystal system: orthorhombic. The value obtained for the energy of formation from the pure elements is -3.1 eV/f.u. As for the total energy: -6.049 eV per atom.

Cell lengths 8.248, 8.248, 8.248 Å; angles 138.70, 59.42, 139.24 degrees
Sites, in units of the cell vectors:
Li 0.250 0.250 0.000
Li 0.750 0.750 0.000
La 0.161 0.243 0.403
La 0.339 0.743 0.082
La 0.661 0.257 0.918
La 0.839 0.757 0.597
Be 0.250 0.750 0.500
Be 0.750 0.250 0.500
Ir 0.107 0.716 0.823
Ir 0.393 0.216 0.609
Ir 0.607 0.784 0.391
Ir 0.893 0.284 0.177

=====

4.
VASP calculation (PBE) on a relaxed CaTaIr2 crystal.

Output
The value obtained for the calculated volume is 245 Å³ per cell. The calculation puts the density of states at the Fermi level at 5.36 states/eV per cell. The space group is No. 166. The calculation puts the magnetization at 0.00 μB per formula unit. As for the crystal system: trigonal. The value obtained for the energy of formation from the pure elements is -0.3 eV/f.u. For the energy above the most stable polymorph in this dataset, the calculation gives 399.2 meV/atom. As for the total energy: -7.976 eV per atom.

Cell lengths 3.475, 3.475, 23.448 Å; angles 90.00, 90.00, 120.00 degrees
Sites, in units of the cell vectors:
Ca 0.000 0.000 0.000
Ca 0.333 0.667 0.667
Ca 0.667 0.333 0.333
Ta 0.000 0.000 0.500
Ta 0.333 0.667 0.167
Ta 0.667 0.333 0.833
Ir 0.000 0.000 0.237
Ir 0.000 0.000 0.763
Ir 0.333 0.667 0.430
Ir 0.333 0.667 0.903
Ir 0.667 0.333 0.097
Ir 0.667 0.333 0.570

=====

5.
VASP calculation (PBE) on a relaxed Ir4PtPb crystal.

Output
The value obtained for the calculated volume is 105 Å³ per cell. The calculation puts the density of states at the Fermi level at 13.06 states/eV per cell. The space group is No. 216. The calculation puts the magnetization at 2.52 μB per formula unit. As for the crystal system: cubic. The value obtained for the energy of formation from the pure elements is 3.8 eV/f.u. As for the total energy: -6.902 eV per atom.

Cell lengths 5.291, 5.291, 5.291 Å; angles 60.00, 60.00, 60.00 degrees
Sites, in units of the cell vectors:
Ir 0.376 0.376 0.376
Ir 0.376 0.376 0.873
Ir 0.376 0.873 0.376
Ir 0.873 0.376 0.376
Pt 0.750 0.750 0.750
Pb 0.000 0.000 0.000

=====

6.
VASP calculation (PBE) on a relaxed CdAsRh2 crystal.

Output
The value obtained for the calculated volume is 130 Å³ per cell. The calculation puts the density of states at the Fermi level at 9.61 states/eV per cell. The space group is No. 119. The calculation puts the magnetization at 0.00 μB per formula unit. As for the crystal system: tetragonal. The value obtained for the energy of formation from the pure elements is 0.2 eV/f.u. For the energy above the most stable polymorph in this dataset, the calculation gives 311.4 meV/atom. As for the total energy: -5.019 eV per atom.

Cell lengths 3.830, 3.830, 8.845 Å; angles 90.00, 90.00, 90.00 degrees
Sites, in units of the cell vectors:
Cd 0.000 0.000 0.000
Cd 0.500 0.500 0.500
As 0.000 0.500 0.250
As 0.500 0.000 0.750
Rh 0.000 0.000 0.500
Rh 0.000 0.500 0.750
Rh 0.500 0.000 0.250
Rh 0.500 0.500 0.000

=====

7.
VASP calculation (PBE) on a relaxed KPrAgTe2 crystal.

Output
The value obtained for the calculated volume is 370 Å³ per cell. The calculation puts the density of states at the Fermi level at 4.34 states/eV per cell. The space group is No. 13. Its formation energy from raw total energies is -826 meV/atom. The calculation puts the magnetization at 0.00 μB per formula unit. As for the crystal system: monoclinic. As for the total energy: -3.828 eV per atom.

Cell lengths 8.301, 5.018, 8.960 Å; angles 90.00, 97.20, 90.00 degrees
Sites, in units of the cell vectors:
K 0.000 0.122 0.250
K 0.000 0.878 0.750
Pr 0.500 0.494 0.750
Pr 0.500 0.506 0.250
Ag 0.500 0.000 0.000
Ag 0.500 0.000 0.500
Te 0.243 0.359 0.972
Te 0.243 0.641 0.472
Te 0.757 0.359 0.528
Te 0.757 0.641 0.028

=====

8.
VASP calculation (PBE) on a relaxed Hf2Ru2O crystal.

Output
The value obtained for the calculated volume is 167 Å³ per cell. The calculation puts the density of states at the Fermi level at 5.12 states/eV per cell. The space group is No. 127. Its formation energy from raw total energies is -87 meV/atom. The calculation puts the magnetization at 0.00 μB per formula unit. As for the crystal system: tetragonal. For the energy above the most stable polymorph in this dataset, the calculation gives 0.0 meV/atom. As for the total energy: -8.770 eV per atom.

Cell lengths 7.015, 7.015, 3.391 Å; angles 90.00, 90.00, 90.00 degrees
Sites, in units of the cell vectors:
Hf 0.163 0.337 0.000
Hf 0.337 0.837 0.000
Hf 0.663 0.163 0.000
Hf 0.837 0.663 0.000
Ru 0.140 0.640 0.500
Ru 0.360 0.140 0.500
Ru 0.640 0.860 0.500
Ru 0.860 0.360 0.500
O 0.000 0.000 0.500
O 0.500 0.500 0.500

=====

9.
VASP calculation (PBE) on a relaxed Sr2MnGaTe5 crystal.

Output
The value obtained for the calculated volume is 594 Å³ per cell. The calculation puts the density of states at the Fermi level at 3.45 states/eV per cell. The space group is No. 36. Its formation energy from raw total energies is -854 meV/atom. The calculation puts the magnetization at 4.03 μB per formula unit. As for the crystal system: orthorhombic. As for the total energy: -4.329 eV per atom.

Cell lengths 10.523, 10.523, 13.501 Å; angles 90.00, 90.00, 156.59 degrees
Sites, in units of the cell vectors:
Sr 0.108 0.892 0.500
Sr 0.117 0.883 0.140
Sr 0.883 0.117 0.640
Sr 0.892 0.108 0.000
Mn 0.231 0.769 0.884
Mn 0.769 0.231 0.384
Ga 0.427 0.573 0.295
Ga 0.573 0.427 0.795
Te 0.047 0.953 0.907
Te 0.273 0.727 0.519
Te 0.300 0.700 0.259
Te 0.359 0.641 0.826
Te 0.487 0.513 0.124
Te 0.513 0.487 0.624
Te 0.641 0.359 0.326
Te 0.700 0.300 0.759
Te 0.727 0.273 0.019
Te 0.953 0.047 0.407

=====

10.
VASP calculation (PBE) on a relaxed LiTlZnGe crystal.

Output
The value obtained for the calculated volume is 313 Å³ per cell. The calculation puts the density of states at the Fermi level at 5.90 states/eV per cell. The space group is No. 216. The calculation puts the magnetization at 0.00 μB per formula unit. As for the crystal system: cubic. The value obtained for the energy of formation from the pure elements is 0.0 eV/f.u. For the energy above the most stable polymorph in this dataset, the calculation gives 76.2 meV/atom. As for the total energy: -2.541 eV per atom.

Cell lengths 6.787, 6.787, 6.787 Å; angles 90.00, 90.00, 90.00 degrees
Sites, in units of the cell vectors:
Li 0.000 0.000 0.000
Li 0.000 0.500 0.500
Li 0.500 0.000 0.500
Li 0.500 0.500 0.000
Tl 0.250 0.250 0.250
Tl 0.250 0.750 0.750
Tl 0.750 0.250 0.750
Tl 0.750 0.750 0.250
Zn 0.000 0.000 0.500
Zn 0.000 0.500 0.000
Zn 0.500 0.000 0.000
Zn 0.500 0.500 0.500
Ge 0.250 0.250 0.750
Ge 0.250 0.750 0.250
Ge 0.750 0.250 0.250
Ge 0.750 0.750 0.750